Entry 1:
Ho6BiSe5: relaxed, PBE.

Summary:
uncorrected formation energy	-1.56	eV/atom

Cell and atoms, written as CIF:
```
data_Ho6BiSe5
_cell_length_a 7.133
_cell_length_b 12.343
_cell_length_c 7.191
_cell_angle_alpha 90.00
_cell_angle_beta 109.37
_cell_angle_gamma 90.00
_symmetry_space_group_name_H-M 'C 1 2/m 1'
_symmetry_Int_Tables_number 12
loop_
_symmetry_equiv_pos_as_xyz
'x,y,z'
'-x,-y,-z'
'-x,y,-z'
'x,-y,z'
'x+1/2,y+1/2,z'
'-x+1/2,-y+1/2,-z'
'-x+1/2,y+1/2,-z'
'x+1/2,-y+1/2,z'
loop_
_atom_site_label
_atom_site_fract_x
_atom_site_fract_y
_atom_site_fract_z
Ho1 0.237 0.173 0.233
Ho2 0.238 0.000 0.760
Bi1 0.000 0.500 0.500
Se1 0.000 0.000 0.000
Se2 0.000 0.168 0.500
Se3 0.000 0.341 0.000
```


Entry 2:
HfCrAgS4: relaxed, PBE.

Summary:
relative energy among the computed polymorphs	10.07	kJ per mole of atoms
uncorrected formation energy	-0.84	eV/atom

Cell and atoms, written as CIF:
```
data_HfCrAgS4
_cell_length_a 5.993
_cell_length_b 3.515
_cell_length_c 12.895
_cell_angle_alpha 90.00
_cell_angle_beta 90.02
_cell_angle_gamma 90.00
_symmetry_space_group_name_H-M 'P 1 21/m 1'
_symmetry_Int_Tables_number 11
loop_
_symmetry_equiv_pos_as_xyz
'x,y,z'
'-x,-y,-z'
'-x,y+1/2,-z'
'x,-y+1/2,z'
loop_
_atom_site_label
_atom_site_fract_x
_atom_site_fract_y
_atom_site_fract_z
Hf1 0.248 0.250 0.001
Cr1 0.304 0.250 0.497
Ag1 0.211 0.250 0.729
S1 0.085 0.750 0.586
S2 0.088 0.750 0.120
S3 0.406 0.750 0.389
S4 0.416 0.750 0.881
```


Entry 3:
TbScMn: relaxed, PBE.

Summary:
relative energy among the computed polymorphs	0.72	kJ per mole of atoms
energy relative to the elements	0.132	eV/atom

Cell and atoms, written as CIF:
```
data_TbScMn
_cell_length_a 3.372
_cell_length_b 3.372
_cell_length_c 12.114
_cell_angle_alpha 90.00
_cell_angle_beta 90.00
_cell_angle_gamma 90.00
_symmetry_space_group_name_H-M 'I 4 m m'
_symmetry_Int_Tables_number 107
_symmetry_space_group_name_Hall 'I 4 -2'
loop_
_atom_site_label
_atom_site_fract_x
_atom_site_fract_y
_atom_site_fract_z
Tb1 0.000 0.000 0.000
Sc1 0.000 0.000 0.277
Mn1 0.000 0.000 0.651
```


Entry 4:
Ni3Bi5Te: relaxed, PBE.

Summary:
uncorrected formation energy	0.07	eV/atom

Cell and atoms, written as CIF:
```
data_Ni3Bi5Te
_cell_length_a 11.763
_cell_length_b 8.804
_cell_length_c 9.422
_cell_angle_alpha 90.00
_cell_angle_beta 110.18
_cell_angle_gamma 90.00
_symmetry_space_group_name_H-M 'C 1 2/m 1'
_symmetry_Int_Tables_number 12
loop_
_symmetry_equiv_pos_as_xyz
'x,y,z'
'-x,-y,-z'
'-x,y,-z'
'x,-y,z'
'x+1/2,y+1/2,z'
'-x+1/2,-y+1/2,-z'
'-x+1/2,y+1/2,-z'
'x+1/2,-y+1/2,z'
loop_
_atom_site_label
_atom_site_fract_x
_atom_site_fract_y
_atom_site_fract_z
Ni1 0.000 0.000 0.000
Ni2 0.000 0.000 0.500
Ni3 0.167 0.500 0.171
Ni4 0.183 0.500 0.669
Bi1 0.000 0.302 0.000
Bi2 0.049 0.500 0.354
Bi3 0.185 0.203 0.634
Bi4 0.235 0.000 0.032
Te1 0.085 0.000 0.290
```


Entry 5:
LaTlPb2: relaxed, PBE.

Summary:
energy relative to the elements	-0.162	eV/atom

Cell and atoms, written as CIF:
```
data_LaTlPb2
_cell_length_a 8.830
_cell_length_b 8.830
_cell_length_c 6.712
_cell_angle_alpha 90.00
_cell_angle_beta 90.00
_cell_angle_gamma 90.00
_symmetry_space_group_name_H-M 'I -4 2 d'
_symmetry_Int_Tables_number 122
_symmetry_space_group_name_Hall 'I -4 2bw'
loop_
_atom_site_label
_atom_site_fract_x
_atom_site_fract_y
_atom_site_fract_z
La1 0.000 0.000 0.000
Tl1 0.000 0.000 0.500
Pb1 0.226 0.750 0.625
```


Entry 6:
Ba2MnRe: relaxed, PBE.

Summary:
relative energy among the computed polymorphs	75.64	kJ per mole of atoms
energy relative to the elements	1.255	eV/atom

Cell and atoms, written as CIF:
```
data_Ba2MnRe
_cell_length_a 7.539
_cell_length_b 7.539
_cell_length_c 7.539
_cell_angle_alpha 90.00
_cell_angle_beta 90.00
_cell_angle_gamma 90.00
_symmetry_space_group_name_H-M 'F -4 3 m'
_symmetry_Int_Tables_number 216
_symmetry_space_group_name_Hall 'F -4 2 3'
loop_
_atom_site_label
_atom_site_fract_x
_atom_site_fract_y
_atom_site_fract_z
Ba1 0.000 0.000 0.000
Ba2 0.250 0.250 0.250
Mn1 0.250 0.250 0.750
Re1 0.000 0.000 0.500
```


Entry 7:
Li2PPt: relaxed, PBE.

Summary:
energy relative to the elements	-0.385	eV/atom

Cell and atoms, written as CIF:
```
data_Li2PPt
_cell_length_a 3.257
_cell_length_b 3.257
_cell_length_c 5.500
_cell_angle_alpha 90.00
_cell_angle_beta 90.00
_cell_angle_gamma 90.00
_symmetry_space_group_name_H-M 'P 4 m m'
_symmetry_Int_Tables_number 99
loop_
_symmetry_equiv_pos_as_xyz
'x,y,z'
'-y,x,z'
'-x,-y,z'
'y,-x,z'
'-x,y,z'
'y,x,z'
'x,-y,z'
'-y,-x,z'
loop_
_atom_site_label
_atom_site_fract_x
_atom_site_fract_y
_atom_site_fract_z
Li1 0.000 0.000 0.000
Li2 0.500 0.500 0.263
P1 0.000 0.000 0.545
Pt1 0.500 0.500 0.726
```


Entry 8:
Sc2CdCo: relaxed, PBE.

Summary:
energy relative to the elements	0.055	eV/atom

Cell and atoms, written as CIF:
```
data_Sc2CdCo
_cell_length_a 3.4576
_cell_length_b 3.4576
_cell_length_c 27.3932
_cell_angle_alpha 90.00
_cell_angle_beta 90.00
_cell_angle_gamma 120.00
_symmetry_space_group_name_H-M 'R -3 m'
_symmetry_Int_Tables_number 166
_symmetry_space_group_name_Hall '-R 3 2"'
loop_
_atom_site_label
_atom_site_fract_x
_atom_site_fract_y
_atom_site_fract_z
Sc1 0.0000 0.0000 0.1137
Cd1 0.0000 0.0000 0.0000
Co1 0.0000 0.0000 0.5000
```


Entry 9:
Tm3LuN: relaxed, PBE.

Summary:
uncorrected formation energy	-0.55	eV/atom

Cell and atoms, written as CIF:
```
data_Tm3LuN
_cell_length_a 4.864
_cell_length_b 4.864
_cell_length_c 4.864
_cell_angle_alpha 90.00
_cell_angle_beta 90.00
_cell_angle_gamma 90.00
_symmetry_space_group_name_H-M 'P m -3 m'
_symmetry_Int_Tables_number 221
_symmetry_space_group_name_Hall '-P 4 2 3'
loop_
_atom_site_label
_atom_site_fract_x
_atom_site_fract_y
_atom_site_fract_z
Tm1 0.000 0.000 0.500
Lu1 0.500 0.500 0.500
N1 0.000 0.000 0.000
```


Entry 10:
Pm3GaP2Pt9: relaxed, PBE.

Summary:
energy relative to the elements	-0.744	eV/atom

Cell and atoms, written as CIF:
```
data_Pm3GaP2Pt9
_cell_length_a 6.3618
_cell_length_b 6.3618
_cell_length_c 8.8290
_cell_angle_alpha 90.00
_cell_angle_beta 90.00
_cell_angle_gamma 120.00
_symmetry_space_group_name_H-M 'P -3 m 1'
_symmetry_Int_Tables_number 164
_symmetry_space_group_name_Hall '-P 3 2"'
loop_
_atom_site_label
_atom_site_fract_x
_atom_site_fract_y
_atom_site_fract_z
Pm1 0.0000 0.0000 0.0000
Pm2 0.3333 0.6667 0.6920
Ga1 0.0000 0.0000 0.5000
P1 0.3333 0.6667 0.1797
Pt1 0.0000 0.5000 0.0000
Pt2 0.1464 0.2928 0.2811
```


Entry 11:
HoGa3Ag: relaxed, PBE.

Summary:
energy relative to the elements	-0.307	eV/atom

Cell and atoms, written as CIF:
```
data_HoGa3Ag
_cell_length_a 4.158
_cell_length_b 24.174
_cell_length_c 4.095
_cell_angle_alpha 90.00
_cell_angle_beta 90.00
_cell_angle_gamma 90.00
_symmetry_space_group_name_H-M 'C m m m'
_symmetry_Int_Tables_number 65
_symmetry_space_group_name_Hall '-C 2 2'
loop_
_atom_site_label
_atom_site_fract_x
_atom_site_fract_y
_atom_site_fract_z
Ho1 0.000 0.175 0.000
Ga1 0.000 0.052 0.500
Ga2 0.000 0.276 0.500
Ga3 0.000 0.449 0.000
Ag1 0.000 0.380 0.500
```


Entry 12:
TmLu2Th: relaxed, PBE.

Summary:
relative energy among the computed polymorphs	0.00	kJ per mole of atoms
energy relative to the elements	0.026	eV/atom

Cell and atoms, written as CIF:
```
data_TmLu2Th
_cell_length_a 3.502
_cell_length_b 3.502
_cell_length_c 9.942
_cell_angle_alpha 90.00
_cell_angle_beta 90.00
_cell_angle_gamma 90.00
_symmetry_space_group_name_H-M 'P 4/m m m'
_symmetry_Int_Tables_number 123
_symmetry_space_group_name_Hall '-P 4 2'
loop_
_atom_site_label
_atom_site_fract_x
_atom_site_fract_y
_atom_site_fract_z
Tm1 0.000 0.000 0.000
Lu1 0.500 0.500 0.251
Th1 0.000 0.000 0.500
```


Entry 13:
InNiIr: relaxed, PBE.

Summary:
relative energy among the computed polymorphs	13.44	kJ per mole of atoms
energy relative to the elements	0.215	eV/atom

Cell and atoms, written as CIF:
```
data_InNiIr
_cell_length_a 5.901
_cell_length_b 5.901
_cell_length_c 5.901
_cell_angle_alpha 90.00
_cell_angle_beta 90.00
_cell_angle_gamma 90.00
_symmetry_space_group_name_H-M 'F -4 3 m'
_symmetry_Int_Tables_number 216
_symmetry_space_group_name_Hall 'F -4 2 3'
loop_
_atom_site_label
_atom_site_fract_x
_atom_site_fract_y
_atom_site_fract_z
In1 0.000 0.000 0.000
Ni1 0.250 0.250 0.250
Ir1 0.000 0.000 0.500
```


Entry 14:
Al2Cu2Pt: relaxed, PBE.

Summary:
relative energy among the computed polymorphs	0.00	kJ per mole of atoms
energy relative to the elements	-0.369	eV/atom

Cell and atoms, written as CIF:
```
data_Al2Cu2Pt
_cell_length_a 7.119
_cell_length_b 4.605
_cell_length_c 4.560
_cell_angle_alpha 90.00
_cell_angle_beta 112.02
_cell_angle_gamma 90.00
_symmetry_space_group_name_H-M 'C 1 2/m 1'
_symmetry_Int_Tables_number 12
loop_
_symmetry_equiv_pos_as_xyz
'x,y,z'
'-x,-y,-z'
'-x,y,-z'
'x,-y,z'
'x+1/2,y+1/2,z'
'-x+1/2,-y+1/2,-z'
'-x+1/2,y+1/2,-z'
'x+1/2,-y+1/2,z'
loop_
_atom_site_label
_atom_site_fract_x
_atom_site_fract_y
_atom_site_fract_z
Al1 0.211 0.000 0.131
Cu1 0.098 0.500 0.284
Pt1 0.000 0.000 0.500
```


Entry 15:
TaTlRh3: relaxed, PBE.

Summary:
relative energy among the computed polymorphs	103.99	kJ per mole of atoms
energy relative to the elements	1.792	eV/atom

Cell and atoms, written as CIF:
```
data_TaTlRh3
_cell_length_a 4.810
_cell_length_b 4.810
_cell_length_c 4.810
_cell_angle_alpha 90.00
_cell_angle_beta 90.00
_cell_angle_gamma 90.00
_symmetry_space_group_name_H-M 'P m -3 m'
_symmetry_Int_Tables_number 221
_symmetry_space_group_name_Hall '-P 4 2 3'
loop_
_atom_site_label
_atom_site_fract_x
_atom_site_fract_y
_atom_site_fract_z
Ta1 0.000 0.000 0.000
Tl1 0.500 0.500 0.500
Rh1 0.000 0.500 0.500
```


Entry 16:
TiVCo: relaxed, PBE.

Summary:
relative energy among the computed polymorphs	21.10	kJ per mole of atoms
energy relative to the elements	-0.019	eV/atom

Cell and atoms, written as CIF:
```
data_TiVCo
_cell_length_a 4.1476
_cell_length_b 4.1476
_cell_length_c 2.6526
_cell_angle_alpha 90.00
_cell_angle_beta 90.00
_cell_angle_gamma 120.00
_symmetry_space_group_name_H-M 'P 3 m 1'
_symmetry_Int_Tables_number 156
loop_
_symmetry_equiv_pos_as_xyz
'x,y,z'
'-y,x-y,z'
'-x+y,-x,z'
'-y,-x,z'
'-x+y,y,z'
'x,x-y,z'
loop_
_atom_site_label
_atom_site_fract_x
_atom_site_fract_y
_atom_site_fract_z
Ti1 0.0000 0.0000 0.0000
V1 0.3333 0.6667 0.3541
Co1 0.6667 0.3333 0.6604
```


Entry 17:
AlNi2Sn: relaxed, PBE.

Summary:
energy relative to the elements	-0.271	eV/atom

Cell and atoms, written as CIF:
```
data_AlNi2Sn
_cell_length_a 4.209
_cell_length_b 4.209
_cell_length_c 3.170
_cell_angle_alpha 90.00
_cell_angle_beta 90.00
_cell_angle_gamma 90.00
_symmetry_space_group_name_H-M 'P 4/m m m'
_symmetry_Int_Tables_number 123
_symmetry_space_group_name_Hall '-P 4 2'
loop_
_atom_site_label
_atom_site_fract_x
_atom_site_fract_y
_atom_site_fract_z
Al1 0.000 0.000 0.000
Ni1 0.000 0.500 0.500
Sn1 0.500 0.500 0.000
```


Entry 18:
Er2ScHg5: relaxed, PBE.

Summary:
energy relative to the elements	-0.358	eV/atom

Cell and atoms, written as CIF:
```
data_Er2ScHg5
_cell_length_a 5.118
_cell_length_b 5.118
_cell_length_c 14.338
_cell_angle_alpha 90.00
_cell_angle_beta 90.00
_cell_angle_gamma 90.00
_symmetry_space_group_name_H-M 'I 4/m m m'
_symmetry_Int_Tables_number 139
_symmetry_space_group_name_Hall '-I 4 2'
loop_
_atom_site_label
_atom_site_fract_x
_atom_site_fract_y
_atom_site_fract_z
Er1 0.000 0.000 0.239
Sc1 0.000 0.000 0.500
Hg1 0.000 0.000 0.000
Hg2 0.000 0.500 0.122
```


Entry 19:
Eu2SnSb: relaxed, PBE.

Summary:
relative energy among the computed polymorphs	46.06	kJ per mole of atoms
uncorrected formation energy	-0.29	eV/atom

Cell and atoms, written as CIF:
```
data_Eu2SnSb
_cell_length_a 4.4535
_cell_length_b 4.4535
_cell_length_c 30.6704
_cell_angle_alpha 90.00
_cell_angle_beta 90.00
_cell_angle_gamma 120.00
_symmetry_space_group_name_H-M 'R -3 m'
_symmetry_Int_Tables_number 166
_symmetry_space_group_name_Hall '-R 3 2"'
loop_
_atom_site_label
_atom_site_fract_x
_atom_site_fract_y
_atom_site_fract_z
Eu1 0.0000 0.0000 0.1074
Sn1 0.0000 0.0000 0.0000
Sb1 0.0000 0.0000 0.5000
```


Entry 20:
TbPr3Sm12: relaxed, PBE.

Summary:
energy relative to the elements	0.015	eV/atom

Cell and atoms, written as CIF:
```
data_TbPr3Sm12
_cell_length_a 5.145
_cell_length_b 5.145
_cell_length_c 20.578
_cell_angle_alpha 90.00
_cell_angle_beta 90.00
_cell_angle_gamma 90.00
_symmetry_space_group_name_H-M 'P 4/m m m'
_symmetry_Int_Tables_number 123
_symmetry_space_group_name_Hall '-P 4 2'
loop_
_atom_site_label
_atom_site_fract_x
_atom_site_fract_y
_atom_site_fract_z
Tb1 0.000 0.000 0.000
Pr1 0.000 0.000 0.249
Pr2 0.000 0.000 0.500
Sm1 0.000 0.500 0.123
Sm2 0.000 0.500 0.374
Sm3 0.500 0.500 0.000
Sm4 0.500 0.500 0.249
Sm5 0.500 0.500 0.500
```


Entry 21:
Tb2Pm2C3: relaxed, PBE.

Summary:
energy relative to the elements	-0.101	eV/atom

Cell and atoms, written as CIF:
```
data_Tb2Pm2C3
_cell_length_a 8.097
_cell_length_b 8.097
_cell_length_c 8.097
_cell_angle_alpha 90.00
_cell_angle_beta 90.00
_cell_angle_gamma 90.00
_symmetry_space_group_name_H-M 'I 21 3'
_symmetry_Int_Tables_number 199
_symmetry_space_group_name_Hall 'I 2b 2c 3'
loop_
_atom_site_label
_atom_site_fract_x
_atom_site_fract_y
_atom_site_fract_z
Tb1 0.209 0.209 0.209
Pm1 0.044 0.456 0.544
C1 0.000 0.250 0.863
```


Entry 22:
ReGe3I: relaxed, PBE.

Summary:
relative energy among the computed polymorphs	0.00	kJ per mole of atoms
uncorrected formation energy	0.12	eV/atom

Cell and atoms, written as CIF:
```
data_ReGe3I
_cell_length_a 4.931
_cell_length_b 4.931
_cell_length_c 4.931
_cell_angle_alpha 90.00
_cell_angle_beta 90.00
_cell_angle_gamma 90.00
_symmetry_space_group_name_H-M 'P m -3 m'
_symmetry_Int_Tables_number 221
_symmetry_space_group_name_Hall '-P 4 2 3'
loop_
_atom_site_label
_atom_site_fract_x
_atom_site_fract_y
_atom_site_fract_z
Re1 0.000 0.000 0.000
Ge1 0.000 0.000 0.500
I1 0.500 0.500 0.500
```


Entry 23:
YCo2Sn4: relaxed, PBE.

Summary:
energy relative to the elements	-0.301	eV/atom

Cell and atoms, written as CIF:
```
data_YCo2Sn4
_cell_length_a 18.158
_cell_length_b 4.324
_cell_length_c 7.111
_cell_angle_alpha 90.00
_cell_angle_beta 90.00
_cell_angle_gamma 90.00
_symmetry_space_group_name_H-M 'P n m a'
_symmetry_Int_Tables_number 62
loop_
_symmetry_equiv_pos_as_xyz
'x,y,z'
'-x,-y,-z'
'-x+1/2,-y,z+1/2'
'x+1/2,y,-z+1/2'
'x+1/2,-y+1/2,-z+1/2'
'-x+1/2,y+1/2,z+1/2'
'-x,y+1/2,-z'
'x,-y+1/2,z'
loop_
_atom_site_label
_atom_site_fract_x
_atom_site_fract_y
_atom_site_fract_z
Y1 0.142 0.250 0.004
Co1 0.036 0.750 0.750
Co2 0.214 0.250 0.484
Sn1 0.029 0.750 0.134
Sn2 0.068 0.250 0.512
Sn3 0.180 0.750 0.700
Sn4 0.198 0.750 0.280
```


Entry 24:
K5SnCl8: relaxed, PBE.

Summary:
uncorrected formation energy	-1.59	eV/atom

Cell and atoms, written as CIF:
```
data_K5SnCl8
_cell_length_a 9.327
_cell_length_b 9.327
_cell_length_c 9.569
_cell_angle_alpha 90.00
_cell_angle_beta 90.00
_cell_angle_gamma 90.00
_symmetry_space_group_name_H-M 'I -4'
_symmetry_Int_Tables_number 82
loop_
_symmetry_equiv_pos_as_xyz
'x,y,z'
'y,-x,-z'
'-x,-y,z'
'-y,x,-z'
'x+1/2,y+1/2,z+1/2'
'y+1/2,-x+1/2,-z+1/2'
'-x+1/2,-y+1/2,z+1/2'
'-y+1/2,x+1/2,-z+1/2'
loop_
_atom_site_label
_atom_site_fract_x
_atom_site_fract_y
_atom_site_fract_z
K1 0.000 0.000 0.000
K2 0.132 0.733 0.628
Sn1 0.000 0.500 0.250
Cl1 0.053 0.773 0.306
Cl2 0.078 0.677 0.954
```


Summary of size of the total moment in μB/f.u.
0.0 1.3 2.4 0.0 0.0 3.6 0.0 0.0 0.0 0.0 0.0 0.0 0.3 0.0 0.0 0.0 0.0 0.0 14.0 0.0 0.0 0.0 0.0 0.6
(order as listed above)